No. 1
DFT (PBE-GGA) results for crystalline Zr2AsW at its relaxed geometry.

```
data_Zr2AsW
_chemical_formula_sum 'Zr6 As3 W3'
_cell_length_a 3.299
_cell_length_b 3.299
_cell_length_c 25.562
_cell_angle_alpha 90.00
_cell_angle_beta 90.00
_cell_angle_gamma 120.00
_symmetry_space_group_name_H-M 'P 1'
_symmetry_Int_Tables_number 1
loop_
_symmetry_equiv_pos_as_xyz
'x,y,z'
loop_
_atom_site_label
_atom_site_type_symbol
_atom_site_fract_x
_atom_site_fract_y
_atom_site_fract_z
Zr1 Zr 0.000 0.000 0.000
Zr2 Zr 0.000 0.000 0.235
Zr3 Zr 0.333 0.667 0.667
Zr4 Zr 0.333 0.667 0.901
Zr5 Zr 0.667 0.333 0.333
Zr6 Zr 0.667 0.333 0.568
As1 As 0.000 0.000 0.486
As2 As 0.333 0.667 0.153
As3 As 0.667 0.333 0.820
W1 W 0.000 0.000 0.753
W2 W 0.333 0.667 0.420
W3 W 0.667 0.333 0.087
```

Theoretical density (g/cm3): 9.13
Space-group type: R3m
Volume (Å³/atom): 20.07
Size of the total moment (μB/atom): 0.00
ΔH_f (0 K) (eV per atom): 0.013

=====

No. 2
DFT (PBE-GGA) results for crystalline ZrAs2W at its relaxed geometry.

```
data_ZrAs2W
_chemical_formula_sum 'Zr3 As6 W3'
_cell_length_a 3.247
_cell_length_b 3.247
_cell_length_c 25.387
_cell_angle_alpha 90.00
_cell_angle_beta 90.00
_cell_angle_gamma 120.00
_symmetry_space_group_name_H-M 'P 1'
_symmetry_Int_Tables_number 1
loop_
_symmetry_equiv_pos_as_xyz
'x,y,z'
loop_
_atom_site_label
_atom_site_type_symbol
_atom_site_fract_x
_atom_site_fract_y
_atom_site_fract_z
Zr1 Zr 0.000 0.000 0.000
Zr2 Zr 0.333 0.667 0.667
Zr3 Zr 0.667 0.333 0.333
As1 As 0.000 0.000 0.511
As2 As 0.000 0.000 0.751
As3 As 0.333 0.667 0.178
As4 As 0.333 0.667 0.417
As5 As 0.667 0.333 0.084
As6 As 0.667 0.333 0.845
W1 W 0.000 0.000 0.247
W2 W 0.333 0.667 0.914
W3 W 0.667 0.333 0.580
```

Theoretical density (g/cm3): 9.13
Distance to the lowest polymorph of the same formula (kJ per mole of atoms): 52.3
Space-group type: R3m
Volume (Å³/atom): 19.31
Size of the total moment (μB/atom): 0.00
ΔH_f (0 K) (eV per atom): 0.027

=====

No. 3
DFT (PBE-GGA) results for crystalline ZrAs2W at its relaxed geometry.

```
data_ZrAs2W
_chemical_formula_sum 'Zr1 As2 W1'
_cell_length_a 3.314
_cell_length_b 4.115
_cell_length_c 5.423
_cell_angle_alpha 90.00
_cell_angle_beta 96.18
_cell_angle_gamma 90.00
_symmetry_space_group_name_H-M 'P 1'
_symmetry_Int_Tables_number 1
loop_
_symmetry_equiv_pos_as_xyz
'x,y,z'
loop_
_atom_site_label
_atom_site_type_symbol
_atom_site_fract_x
_atom_site_fract_y
_atom_site_fract_z
Zr1 Zr 0.000 0.000 0.000
As1 As 0.404 0.500 0.756
As2 As 0.596 0.500 0.244
W1 W 0.500 0.000 0.500
```

Theoretical density (g/cm3): 9.60
Distance to the lowest polymorph of the same formula (kJ per mole of atoms): 40.9
Space-group type: P2/m
Volume (Å³/atom): 18.38
Size of the total moment (μB/atom): 0.00
ΔH_f (0 K) (eV per atom): -0.092

=====

No. 4
DFT (PBE-GGA) results for crystalline Zr2AsW at its relaxed geometry.

```
data_Zr2AsW
_chemical_formula_sum 'Zr4 As2 W2'
_cell_length_a 3.542
_cell_length_b 5.030
_cell_length_c 8.736
_cell_angle_alpha 90.00
_cell_angle_beta 90.00
_cell_angle_gamma 90.00
_symmetry_space_group_name_H-M 'P 1'
_symmetry_Int_Tables_number 1
loop_
_symmetry_equiv_pos_as_xyz
'x,y,z'
loop_
_atom_site_label
_atom_site_type_symbol
_atom_site_fract_x
_atom_site_fract_y
_atom_site_fract_z
Zr1 Zr 0.000 0.000 0.000
Zr2 Zr 0.000 0.500 0.300
Zr3 Zr 0.500 0.000 0.300
Zr4 Zr 0.500 0.500 0.000
As1 As 0.000 0.000 0.535
As2 As 0.500 0.500 0.535
W1 W 0.000 0.500 0.750
W2 W 0.500 0.000 0.750
```

Theoretical density (g/cm3): 9.41
Space-group type: Cmm2
Volume (Å³/atom): 19.46
Size of the total moment (μB/atom): 0.00
ΔH_f (0 K) (eV per atom): -0.001

=====

No. 5
DFT (PBE-GGA) results for crystalline ZrAsW at its relaxed geometry.

```
data_ZrAsW
_chemical_formula_sum 'Zr2 As2 W2'
_cell_length_a 3.338
_cell_length_b 3.338
_cell_length_c 9.692
_cell_angle_alpha 90.00
_cell_angle_beta 90.00
_cell_angle_gamma 90.00
_symmetry_space_group_name_H-M 'P 1'
_symmetry_Int_Tables_number 1
loop_
_symmetry_equiv_pos_as_xyz
'x,y,z'
loop_
_atom_site_label
_atom_site_type_symbol
_atom_site_fract_x
_atom_site_fract_y
_atom_site_fract_z
Zr1 Zr 0.000 0.000 0.000
Zr2 Zr 0.500 0.500 0.500
As1 As 0.000 0.000 0.309
As2 As 0.500 0.500 0.809
W1 W 0.000 0.000 0.689
W2 W 0.500 0.500 0.189
```

Theoretical density (g/cm3): 10.77
Distance to the lowest polymorph of the same formula (kJ per mole of atoms): 0.6
Space-group type: I4mm
Volume (Å³/atom): 18.00
Size of the total moment (μB/atom): 0.00
ΔH_f (0 K) (eV per atom): -0.117

=====

No. 6
DFT (PBE-GGA) results for crystalline ZrAsW2 at its relaxed geometry.

```
data_ZrAsW2
_chemical_formula_sum 'Zr1 As1 W2'
_cell_length_a 3.251
_cell_length_b 3.251
_cell_length_c 6.728
_cell_angle_alpha 90.00
_cell_angle_beta 90.00
_cell_angle_gamma 90.00
_symmetry_space_group_name_H-M 'P 1'
_symmetry_Int_Tables_number 1
loop_
_symmetry_equiv_pos_as_xyz
'x,y,z'
loop_
_atom_site_label
_atom_site_type_symbol
_atom_site_fract_x
_atom_site_fract_y
_atom_site_fract_z
Zr1 Zr 0.000 0.000 0.000
As1 As 0.500 0.500 0.291
W1 W 0.000 0.000 0.500
W2 W 0.500 0.500 0.716
```

Theoretical density (g/cm3): 12.47
Space-group type: P4mm
Volume (Å³/atom): 17.77
Size of the total moment (μB/atom): 0.00
ΔH_f (0 K) (eV per atom): -0.006

=====

No. 7
DFT (PBE-GGA) results for crystalline ZrAsW2 at its relaxed geometry.

```
data_ZrAsW2
_chemical_formula_sum 'Zr2 As2 W4'
_cell_length_a 3.370
_cell_length_b 4.826
_cell_length_c 8.606
_cell_angle_alpha 90.00
_cell_angle_beta 90.00
_cell_angle_gamma 90.00
_symmetry_space_group_name_H-M 'P 1'
_symmetry_Int_Tables_number 1
loop_
_symmetry_equiv_pos_as_xyz
'x,y,z'
loop_
_atom_site_label
_atom_site_type_symbol
_atom_site_fract_x
_atom_site_fract_y
_atom_site_fract_z
Zr1 Zr 0.000 0.000 0.000
Zr2 Zr 0.500 0.500 0.000
As1 As 0.000 0.500 0.747
As2 As 0.500 0.000 0.747
W1 W 0.000 0.000 0.511
W2 W 0.000 0.500 0.271
W3 W 0.500 0.000 0.271
W4 W 0.500 0.500 0.511
```

Theoretical density (g/cm3): 12.66
Space-group type: Cmm2
Volume (Å³/atom): 17.50
Size of the total moment (μB/atom): 0.00
ΔH_f (0 K) (eV per atom): 0.056

=====

No. 8
DFT (PBE-GGA) results for crystalline ZrAs4W at its relaxed geometry.

```
data_ZrAs4W
_chemical_formula_sum 'Zr1 As4 W1'
_cell_length_a 5.400
_cell_length_b 5.400
_cell_length_c 5.400
_cell_angle_alpha 60.00
_cell_angle_beta 60.00
_cell_angle_gamma 60.00
_symmetry_space_group_name_H-M 'P 1'
_symmetry_Int_Tables_number 1
loop_
_symmetry_equiv_pos_as_xyz
'x,y,z'
loop_
_atom_site_label
_atom_site_type_symbol
_atom_site_fract_x
_atom_site_fract_y
_atom_site_fract_z
Zr1 Zr 0.000 0.000 0.000
As1 As 0.126 0.625 0.625
As2 As 0.625 0.126 0.625
As3 As 0.625 0.625 0.126
As4 As 0.625 0.625 0.625
W1 W 0.250 0.250 0.250
```

Theoretical density (g/cm3): 8.57
Space-group type: F-43m
Volume (Å³/atom): 18.56
Size of the total moment (μB/atom): 0.00
ΔH_f (0 K) (eV per atom): 0.616

=====

No. 9
DFT (PBE-GGA) results for crystalline ZrAsW2 at its relaxed geometry.

```
data_ZrAsW2
_chemical_formula_sum 'Zr1 As1 W2'
_cell_length_a 3.048
_cell_length_b 3.048
_cell_length_c 7.609
_cell_angle_alpha 90.00
_cell_angle_beta 90.00
_cell_angle_gamma 90.00
_symmetry_space_group_name_H-M 'P 1'
_symmetry_Int_Tables_number 1
loop_
_symmetry_equiv_pos_as_xyz
'x,y,z'
loop_
_atom_site_label
_atom_site_type_symbol
_atom_site_fract_x
_atom_site_fract_y
_atom_site_fract_z
Zr1 Zr 0.000 0.000 0.000
As1 As 0.000 0.000 0.500
W1 W 0.500 0.500 0.296
W2 W 0.500 0.500 0.704
```

Theoretical density (g/cm3): 12.54
Space-group type: P4/mmm
Volume (Å³/atom): 17.68
Size of the total moment (μB/atom): 0.00
ΔH_f (0 K) (eV per atom): 0.391

=====

No. 10
DFT (PBE-GGA) results for crystalline Zr2AsW at its relaxed geometry.

```
data_Zr2AsW
_chemical_formula_sum 'Zr4 As2 W2'
_cell_length_a 9.927
_cell_length_b 3.337
_cell_length_c 4.794
_cell_angle_alpha 90.00
_cell_angle_beta 106.35
_cell_angle_gamma 90.00
_symmetry_space_group_name_H-M 'P 1'
_symmetry_Int_Tables_number 1
loop_
_symmetry_equiv_pos_as_xyz
'x,y,z'
loop_
_atom_site_label
_atom_site_type_symbol
_atom_site_fract_x
_atom_site_fract_y
_atom_site_fract_z
Zr1 Zr 0.000 0.000 0.000
Zr2 Zr 0.230 0.000 0.709
Zr3 Zr 0.500 0.500 0.000
Zr4 Zr 0.730 0.500 0.709
As1 As 0.473 0.000 0.482
As2 As 0.973 0.500 0.482
W1 W 0.261 0.500 0.253
W2 W 0.761 0.000 0.253
```

Theoretical density (g/cm3): 9.62
Space-group type: Cm
Volume (Å³/atom): 19.05
Size of the total moment (μB/atom): 0.00
ΔH_f (0 K) (eV per atom): -0.191

=====

No. 11
DFT (PBE-GGA) results for crystalline ZrAsW2 at its relaxed geometry.

```
data_ZrAsW2
_chemical_formula_sum 'Zr1 As1 W2'
_cell_length_a 3.446
_cell_length_b 3.446
_cell_length_c 5.860
_cell_angle_alpha 90.00
_cell_angle_beta 90.00
_cell_angle_gamma 90.00
_symmetry_space_group_name_H-M 'P 1'
_symmetry_Int_Tables_number 1
loop_
_symmetry_equiv_pos_as_xyz
'x,y,z'
loop_
_atom_site_label
_atom_site_type_symbol
_atom_site_fract_x
_atom_site_fract_y
_atom_site_fract_z
Zr1 Zr 0.000 0.000 0.000
As1 As 0.000 0.000 0.500
W1 W 0.500 0.500 0.274
W2 W 0.500 0.500 0.726
```

Theoretical density (g/cm3): 12.74
Space-group type: P4/mmm
Volume (Å³/atom): 17.40
Size of the total moment (μB/atom): 0.00
ΔH_f (0 K) (eV per atom): 0.204

=====

No. 12
DFT (PBE-GGA) results for crystalline ZrAs2W at its relaxed geometry.

```
data_ZrAs2W
_chemical_formula_sum 'Zr4 As8 W4'
_cell_length_a 5.598
_cell_length_b 5.598
_cell_length_c 12.772
_cell_angle_alpha 90.00
_cell_angle_beta 90.00
_cell_angle_gamma 90.00
_symmetry_space_group_name_H-M 'P 1'
_symmetry_Int_Tables_number 1
loop_
_symmetry_equiv_pos_as_xyz
'x,y,z'
loop_
_atom_site_label
_atom_site_type_symbol
_atom_site_fract_x
_atom_site_fract_y
_atom_site_fract_z
Zr1 Zr 0.000 0.000 0.000
Zr2 Zr 0.000 0.500 0.250
Zr3 Zr 0.500 0.000 0.750
Zr4 Zr 0.500 0.500 0.500
As1 As 0.215 0.250 0.625
As2 As 0.250 0.715 0.875
As3 As 0.250 0.785 0.375
As4 As 0.285 0.250 0.125
As5 As 0.715 0.750 0.125
As6 As 0.750 0.215 0.375
As7 As 0.750 0.285 0.875
As8 As 0.785 0.750 0.625
W1 W 0.000 0.000 0.500
W2 W 0.000 0.500 0.750
W3 W 0.500 0.000 0.250
W4 W 0.500 0.500 0.000
```

Theoretical density (g/cm3): 7.05
Distance to the lowest polymorph of the same formula (kJ per mole of atoms): 79.7
Space-group type: I-42d
Volume (Å³/atom): 25.02
Size of the total moment (μB/atom): 0.17
ΔH_f (0 K) (eV per atom): 0.310

=====

No. 13
DFT (PBE-GGA) results for crystalline ZrAsW at its relaxed geometry.

```
data_ZrAsW
_chemical_formula_sum 'Zr2 As2 W2'
_cell_length_a 3.325
_cell_length_b 3.325
_cell_length_c 11.746
_cell_angle_alpha 90.00
_cell_angle_beta 90.00
_cell_angle_gamma 120.00
_symmetry_space_group_name_H-M 'P 1'
_symmetry_Int_Tables_number 1
loop_
_symmetry_equiv_pos_as_xyz
'x,y,z'
loop_
_atom_site_label
_atom_site_type_symbol
_atom_site_fract_x
_atom_site_fract_y
_atom_site_fract_z
Zr1 Zr 0.000 0.000 0.178
Zr2 Zr 0.000 0.000 0.822
As1 As 0.667 0.333 0.356
As2 As 0.667 0.333 0.644
W1 W 0.000 0.000 0.500
W2 W 0.667 0.333 0.000
```

Theoretical density (g/cm3): 10.33
Distance to the lowest polymorph of the same formula (kJ per mole of atoms): 0.0
Space-group type: P-6m2
Volume (Å³/atom): 18.75
Size of the total moment (μB/atom): 0.00
ΔH_f (0 K) (eV per atom): -0.124

=====

No. 14
DFT (PBE-GGA) results for crystalline ZrAsW2 at its relaxed geometry.

```
data_ZrAsW2
_chemical_formula_sum 'Zr4 As4 W8'
_cell_length_a 6.508
_cell_length_b 6.508
_cell_length_c 6.508
_cell_angle_alpha 90.00
_cell_angle_beta 90.00
_cell_angle_gamma 90.00
_symmetry_space_group_name_H-M 'P 1'
_symmetry_Int_Tables_number 1
loop_
_symmetry_equiv_pos_as_xyz
'x,y,z'
loop_
_atom_site_label
_atom_site_type_symbol
_atom_site_fract_x
_atom_site_fract_y
_atom_site_fract_z
Zr1 Zr 0.000 0.000 0.000
Zr2 Zr 0.000 0.500 0.500
Zr3 Zr 0.500 0.000 0.500
Zr4 Zr 0.500 0.500 0.000
As1 As 0.250 0.250 0.750
As2 As 0.250 0.750 0.250
As3 As 0.750 0.250 0.250
As4 As 0.750 0.750 0.750
W1 W 0.000 0.000 0.500
W2 W 0.000 0.500 0.000
W3 W 0.250 0.250 0.250
W4 W 0.250 0.750 0.750
W5 W 0.500 0.000 0.000
W6 W 0.500 0.500 0.500
W7 W 0.750 0.250 0.750
W8 W 0.750 0.750 0.250
```

Theoretical density (g/cm3): 12.87
Space-group type: F-43m
Volume (Å³/atom): 17.22
Size of the total moment (μB/atom): 0.00
ΔH_f (0 K) (eV per atom): 0.276

=====

No. 15
DFT (PBE-GGA) results for crystalline Zr2AsW at its relaxed geometry.

```
data_Zr2AsW
_chemical_formula_sum 'Zr8 As4 W4'
_cell_length_a 6.655
_cell_length_b 6.655
_cell_length_c 6.655
_cell_angle_alpha 90.00
_cell_angle_beta 90.00
_cell_angle_gamma 90.00
_symmetry_space_group_name_H-M 'P 1'
_symmetry_Int_Tables_number 1
loop_
_symmetry_equiv_pos_as_xyz
'x,y,z'
loop_
_atom_site_label
_atom_site_type_symbol
_atom_site_fract_x
_atom_site_fract_y
_atom_site_fract_z
Zr1 Zr 0.000 0.000 0.000
Zr2 Zr 0.000 0.500 0.500
Zr3 Zr 0.250 0.250 0.250
Zr4 Zr 0.250 0.750 0.750
Zr5 Zr 0.500 0.000 0.500
Zr6 Zr 0.500 0.500 0.000
Zr7 Zr 0.750 0.250 0.750
Zr8 Zr 0.750 0.750 0.250
As1 As 0.000 0.000 0.500
As2 As 0.000 0.500 0.000
As3 As 0.500 0.000 0.000
As4 As 0.500 0.500 0.500
W1 W 0.250 0.250 0.750
W2 W 0.250 0.750 0.250
W3 W 0.750 0.250 0.250
W4 W 0.750 0.750 0.750
```

Theoretical density (g/cm3): 9.94
Space-group type: F-43m
Volume (Å³/atom): 18.42
Size of the total moment (μB/atom): 0.00
ΔH_f (0 K) (eV per atom): 0.090